(1)
A plane-wave DFT calculation with PBE-GGA was carried out for a relaxed structure of Fe2Ag2Cl7.

The structure in CIF format:
```
data_Fe2Ag2Cl7
_cell_length_a 6.5408
_cell_length_b 7.1725
_cell_length_c 7.1725
_cell_angle_alpha 98.95
_cell_angle_beta 102.29
_cell_angle_gamma 102.29
_symmetry_space_group_name_H-M 'P 1'
_symmetry_Int_Tables_number 1
loop_
_symmetry_equiv_pos_as_xyz
'x,y,z'
loop_
_atom_site_label
_atom_site_type_symbol
_atom_site_fract_x
_atom_site_fract_y
_atom_site_fract_z
Fe1 Fe 0.0924 0.7838 0.7838
Fe2 Fe 0.9076 0.2162 0.2162
Ag1 Ag 0.5000 0.3079 0.6921
Ag2 Ag 0.5000 0.6921 0.3079
Cl1 Cl 0.2829 0.6073 0.9438
Cl2 Cl 0.7171 0.0562 0.3927
Cl3 Cl 0.7171 0.3927 0.0562
Cl4 Cl 0.2829 0.9438 0.6073
Cl5 Cl 0.2237 0.4102 0.4102
Cl6 Cl 0.0000 0.0000 0.0000
Cl7 Cl 0.7763 0.5898 0.5898
```

Summary:
N(E_F) = 5.98 states/eV per cell
Distance to the lowest polymorph of the same formula = 11 meV/atom
ΔE_f (raw) = -0.6264 eV per atom
Total energy = -3.8586 eV per atom
M_tot = 9.00 Bohr magnetons per cell


(2)
A plane-wave DFT calculation with PBE-GGA was carried out for a relaxed structure of Mg5Ga5Cu2.

The structure in CIF format:
```
data_Mg5Ga5Cu2
_cell_length_a 4.2655
_cell_length_b 7.4539
_cell_length_c 7.5472
_cell_angle_alpha 78.17
_cell_angle_beta 73.59
_cell_angle_gamma 73.37
_symmetry_space_group_name_H-M 'P 1'
_symmetry_Int_Tables_number 1
loop_
_symmetry_equiv_pos_as_xyz
'x,y,z'
loop_
_atom_site_label
_atom_site_type_symbol
_atom_site_fract_x
_atom_site_fract_y
_atom_site_fract_z
Mg1 Mg 0.5000 0.5000 0.5000
Mg2 Mg 0.3896 0.3088 0.9121
Mg3 Mg 0.3206 0.0323 0.3264
Mg4 Mg 0.6794 0.9677 0.6736
Mg5 Mg 0.6104 0.6912 0.0879
Ga1 Ga 0.9398 0.7615 0.3590
Ga2 Ga 0.2377 0.7083 0.8162
Ga3 Ga 0.7623 0.2917 0.1838
Ga4 Ga 0.0602 0.2385 0.6410
Ga5 Ga 0.0000 0.0000 0.0000
Cu1 Cu 0.8503 0.5665 0.7329
Cu2 Cu 0.1497 0.4335 0.2671
```

Summary:
N(E_F) = 3.88 states/eV per cell
Total energy = -2.7468 eV per atom
M_tot = 0.00 Bohr magnetons per cell


(3)
A plane-wave DFT calculation with PBE-GGA was carried out for a relaxed structure of LiVCd.

The structure in CIF format:
```
data_LiVCd
_cell_length_a 7.4980
_cell_length_b 2.9770
_cell_length_c 9.1131
_cell_angle_alpha 90.00
_cell_angle_beta 90.00
_cell_angle_gamma 90.00
_symmetry_space_group_name_H-M 'P 1'
_symmetry_Int_Tables_number 1
loop_
_symmetry_equiv_pos_as_xyz
'x,y,z'
loop_
_atom_site_label
_atom_site_type_symbol
_atom_site_fract_x
_atom_site_fract_y
_atom_site_fract_z
Cd1 Cd 0.8597 0.2500 0.7253
Cd2 Cd 0.6403 0.7500 0.2253
Cd3 Cd 0.1403 0.7500 0.2747
Cd4 Cd 0.3597 0.2500 0.7747
Li1 Li 0.8583 0.2500 0.4152
Li2 Li 0.6417 0.7500 0.9152
Li3 Li 0.1417 0.7500 0.5848
Li4 Li 0.3583 0.2500 0.0848
V1 V 0.4245 0.2500 0.4267
V2 V 0.0755 0.7500 0.9267
V3 V 0.5755 0.7500 0.5733
V4 V 0.9245 0.2500 0.0733
```

Summary:
N(E_F) = 12.75 states/eV per cell
Distance to the lowest polymorph of the same formula = 33 meV/atom
Total energy = -3.8175 eV per atom
M_tot = 0.00 Bohr magnetons per cell